The following is a DFT calculation (PBEsol) of a geometry-optimized CsRb2YBr6 structure.

Output
Space-group type: Fm-3m (225)
Electronic total energy, eV per atom: -3.845
V, Å³ per cell: 447.07

Lattice parameters (Å, degrees): 8.5828 8.5828 8.5828 60.00 60.00 60.00
With the nearest neighbours (Å) after each atom.
Fractional positions:
Br 0.7733 0.2267 0.2267  1 Y 2.75
Br 0.2267 0.7733 0.2267  1 Y 2.75
Y 0.0000 0.0000 0.0000  6 Br 2.75
Br 0.7733 0.7733 0.2267  1 Y 2.75
Rb 0.2500 0.2500 0.2500  12 Br 4.30
Cs 0.5000 0.5000 0.5000  6 Br 3.32
Rb 0.7500 0.7500 0.7500  12 Br 4.30
Br 0.2267 0.2267 0.7733  1 Y 2.75
Br 0.7733 0.2267 0.7733  1 Y 2.75
Br 0.2267 0.7733 0.7733  1 Y 2.75

=====

The following is a DFT calculation (PBEsol) of a geometry-optimized CsReSb2Br structure.

Output
Space-group type: P4/mmm (123)
Electronic total energy, eV per atom: -4.964
V, Å³ per cell: 154.01

Lattice parameters (Å, degrees): 5.0866 5.0866 5.9522 90.00 90.00 90.00
With the nearest neighbours (Å) after each atom.
Fractional positions:
Cs 0.5000 0.5000 0.5000  4 Br 3.60, 8 Sb 3.91
Re 0.0000 0.0000 0.0000  4 Sb 2.54
Sb 0.0000 0.5000 0.0000  2 Re 2.54
Sb 0.5000 0.0000 0.0000  2 Re 2.54
Br 0.0000 0.0000 0.5000  2 Re 2.98

=====

The following is a DFT calculation (PBEsol) of a geometry-optimized Cs5Tc6S8Br7 structure.

Output
Space-group type: R-3c (167)
Electronic total energy, eV per atom: -5.773
V, Å³ per cell: 1545.86

Lattice parameters (Å, degrees): 9.9372 9.9372 18.9648 74.81 74.81 60.00
With the nearest neighbours (Å) after each atom.
Fractional positions:
S 0.4464 0.4464 0.6609  3 Tc 2.38
Br 0.8283 0.4275 0.6379  1 Tc 2.56
S 0.3006 0.7503 0.9467  3 Tc 2.37-2.38
Cs 0.8176 0.8176 0.5471  3 S 3.53, 4 Br 3.67-3.77
Cs 0.3176 0.3176 0.0471  3 S 3.53, 4 Br 3.67-3.77
S 0.0023 0.3006 0.9467  3 Tc 2.37-2.38
Tc 0.4719 0.3360 0.5579  4 S 2.37-2.38, 1 Br 2.56, 4 Tc 2.57
S 0.5536 0.5536 0.3391  3 Tc 2.38
Cs 0.7500 0.0964 0.7500  5 Br 3.44-3.74, 4 S 3.60-3.63
Tc 0.5281 0.6640 0.4421  4 S 2.37-2.38, 1 Br 2.56, 4 Tc 2.57
Br 0.6717 0.3937 0.8621  1 Tc 2.56
S 0.0536 0.0536 0.8391  3 Tc 2.38
Cs 0.2500 0.9036 0.2500  5 Br 3.44-3.74, 4 S 3.60-3.63
Tc 0.0281 0.8658 0.9421  4 S 2.37-2.38, 1 Br 2.56, 4 Tc 2.57
Br 0.1717 0.5725 0.3621  1 Tc 2.56
S 0.4977 0.7497 0.5533  3 Tc 2.37-2.38
Br 0.6063 0.9275 0.1379  1 Tc 2.56
Br 0.1063 0.8283 0.6379  1 Tc 2.56
S 0.2503 0.8006 0.4467  3 Tc 2.37-2.38
S 0.9464 0.9464 0.1609  3 Tc 2.38
S 0.7503 0.0023 0.9467  3 Tc 2.37-2.38
Cs 0.4036 0.7500 0.7500  5 Br 3.44-3.74, 4 S 3.60-3.63
Br 0.4275 0.1063 0.6379  1 Tc 2.56
Tc 0.3360 0.6342 0.5579  4 S 2.37-2.38, 1 Br 2.56, 4 Tc 2.57
Br 0.3283 0.6063 0.1379  1 Tc 2.56
Tc 0.8658 0.1640 0.9421  4 S 2.37-2.38, 1 Br 2.56, 4 Tc 2.57
Cs 0.9036 0.5964 0.2500  5 Br 3.44-3.74, 4 S 3.60-3.63
Br 0.8937 0.1717 0.3621  1 Tc 2.56
Cs 0.6824 0.6824 0.9529  3 S 3.53, 4 Br 3.67-3.77
S 0.6994 0.2497 0.0533  3 Tc 2.37-2.38
Cs 0.0964 0.4036 0.7500  5 Br 3.44-3.74, 4 S 3.60-3.63
Tc 0.6640 0.3658 0.4421  4 S 2.37-2.38, 1 Br 2.56, 4 Tc 2.57
S 0.2497 0.9977 0.0533  3 Tc 2.37-2.38
Br 0.0725 0.6717 0.8621  1 Tc 2.56
Br 0.2500 0.2500 0.2500  5 Cs 3.44-3.67
Cs 0.5964 0.2500 0.2500  5 Br 3.44-3.74, 4 S 3.60-3.63
S 0.9977 0.6994 0.0533  3 Tc 2.37-2.38
S 0.1994 0.4977 0.5533  3 Tc 2.37-2.38
Br 0.5725 0.8937 0.3621  1 Tc 2.56
Tc 0.3658 0.5281 0.4421  4 S 2.37-2.38, 1 Br 2.56, 4 Tc 2.57
S 0.7497 0.1994 0.5533  3 Tc 2.37-2.38
Cs 0.1824 0.1824 0.4529  3 S 3.53, 4 Br 3.67-3.77
Br 0.9275 0.3283 0.1379  1 Tc 2.56
Tc 0.1342 0.8360 0.0579  4 S 2.37-2.38, 1 Br 2.56, 4 Tc 2.57
Tc 0.1640 0.0281 0.9421  4 S 2.37-2.38, 1 Br 2.56, 4 Tc 2.57
S 0.5023 0.2503 0.4467  3 Tc 2.37-2.38
Tc 0.6342 0.4719 0.5579  4 S 2.37-2.38, 1 Br 2.56, 4 Tc 2.57
Tc 0.9719 0.1342 0.0579  4 S 2.37-2.38, 1 Br 2.56, 4 Tc 2.57
Br 0.7500 0.7500 0.7500  5 Cs 3.44-3.67
Tc 0.8360 0.9719 0.0579  4 S 2.37-2.38, 1 Br 2.56, 4 Tc 2.57
S 0.8006 0.5023 0.4467  3 Tc 2.37-2.38
Br 0.3937 0.0725 0.8621  1 Tc 2.56

=====

The following is a DFT calculation (PBEsol) of a geometry-optimized Cs2TlSbBr6 structure.

Output
Space-group type: Fm-3m (225)
Electronic total energy, eV per atom: -3.173
V, Å³ per cell: 394.31

Lattice parameters (Å, degrees): 8.2310 8.2310 8.2310 60.00 60.00 60.00
With the nearest neighbours (Å) after each atom.
Fractional positions:
Br 0.2385 0.7615 0.2385  1 Sb 2.78, 1 Tl 3.04
Br 0.7615 0.2385 0.2385  1 Sb 2.78, 1 Tl 3.04
Br 0.7615 0.7615 0.2385  1 Sb 2.78, 1 Tl 3.04
Cs 0.7500 0.7500 0.7500  12 Br 4.12
Sb 0.0000 0.0000 0.0000  6 Br 2.78
Tl 0.5000 0.5000 0.5000  6 Br 3.04
Br 0.2385 0.2385 0.7615  1 Sb 2.78, 1 Tl 3.04
Cs 0.2500 0.2500 0.2500  12 Br 4.12
Br 0.7615 0.2385 0.7615  1 Sb 2.78, 1 Tl 3.04
Br 0.2385 0.7615 0.7615  1 Sb 2.78, 1 Tl 3.04

=====

The following is a DFT calculation (PBEsol) of a geometry-optimized CsY2SbBr structure.

Output
Space-group type: P4/mmm (123)
Electronic total energy, eV per atom: -3.309
V, Å³ per cell: 189.27

Lattice parameters (Å, degrees): 5.6274 5.7995 5.7995 90.00 90.00 90.00
With the nearest neighbours (Å) after each atom.
Fractional positions:
Br 0.5000 0.0000 0.0000  2 Cs 2.81
Y 0.0000 0.0000 0.5000  2 Cs 2.90
Sb 0.5000 0.5000 0.5000  8 Y 4.04, 4 Br 4.10
Cs 0.0000 0.0000 0.0000  2 Br 2.81, 4 Y 2.90
Y 0.0000 0.5000 0.0000  2 Cs 2.90

=====

The following is a DFT calculation (PBEsol) of a geometry-optimized CsScBr3 structure.

Output
Space-group type: Imma (74)
Electronic total energy, eV per atom: -4.290
Distance to the lowest polymorph of the same formula, meV/atom: 0
V, Å³ per cell: 399.84

Lattice parameters (Å, degrees): 6.1595 9.0148 9.0148 60.42 70.02 70.02
With the nearest neighbours (Å) after each atom.
Fractional positions:
Sc 0.0000 0.5000 0.0000  6 Br 2.71-2.73
Cs 0.0000 0.5000 0.5000  8 Br 3.58-3.69
Br 0.7500 0.7458 0.7542  2 Sc 2.71
Br 0.3888 0.4778 0.7446  2 Sc 2.73
Br 0.1112 0.7554 0.0222  2 Sc 2.73
Br 0.2500 0.2542 0.2458  2 Sc 2.71
Cs 0.5000 0.0000 0.0000  8 Br 3.58-3.69
Sc 0.5000 0.5000 0.0000  6 Br 2.71-2.73
Br 0.6112 0.5222 0.2554  2 Sc 2.73
Br 0.8888 0.2446 0.9778  2 Sc 2.73

=====

The following is a DFT calculation (PBEsol) of a geometry-optimized CsScBr3 structure.

Output
Space-group type: Pnma (62)
Electronic total energy, eV per atom: -4.270
Distance to the lowest polymorph of the same formula, meV/atom: 20
V, Å³ per cell: 616.32

Lattice parameters (Å, degrees): 3.9426 9.4676 16.5114 90.00 90.00 90.00
With the nearest neighbours (Å) after each atom.
Fractional positions:
Br 0.7500 0.0458 0.3884  3 Sc 2.72-2.77
Br 0.2500 0.4542 0.8884  3 Sc 2.72-2.77
Br 0.2500 0.2431 0.1925  1 Sc 2.71
Cs 0.7500 0.9363 0.1694  9 Br 3.53-3.82, 2 Cs 3.94
Br 0.2500 0.3130 0.5020  2 Sc 2.76
Br 0.7500 0.7569 0.8075  1 Sc 2.71
Br 0.2500 0.9542 0.6116  3 Sc 2.72-2.77
Br 0.7500 0.1870 0.0020  2 Sc 2.76
Br 0.2500 0.8130 0.9980  2 Sc 2.76
Br 0.7500 0.6870 0.4980  2 Sc 2.76
Sc 0.7500 0.1248 0.5466  6 Br 2.71-2.77
Br 0.7500 0.5458 0.1116  3 Sc 2.72-2.77
Sc 0.7500 0.6248 0.9534  6 Br 2.71-2.77
Cs 0.7500 0.4363 0.3306  9 Br 3.53-3.82, 2 Cs 3.94
Sc 0.2500 0.8752 0.4534  6 Br 2.71-2.77
Sc 0.2500 0.3752 0.0466  6 Br 2.71-2.77
Cs 0.2500 0.0637 0.8306  9 Br 3.53-3.82, 2 Cs 3.94
Cs 0.2500 0.5637 0.6694  9 Br 3.53-3.82, 2 Cs 3.94
Br 0.2500 0.7431 0.3075  1 Sc 2.71
Br 0.7500 0.2569 0.6925  1 Sc 2.71

=====

The following is a DFT calculation (PBEsol) of a geometry-optimized Cs3ScBr6 structure.

Output
Space-group type: Fm-3m (225)
Electronic total energy, eV per atom: -3.815
V, Å³ per cell: 417.60

Lattice parameters (Å, degrees): 8.3899 8.3899 8.3899 60.00 60.00 60.00
With the nearest neighbours (Å) after each atom.
Fractional positions:
Br 0.7790 0.2210 0.7790  1 Sc 2.62
Cs 0.5000 0.5000 0.5000  6 Br 3.31
Br 0.2210 0.7790 0.7790  1 Sc 2.62
Cs 0.2500 0.2500 0.2500  12 Br 4.21
Br 0.2210 0.7790 0.2210  1 Sc 2.62
Br 0.7790 0.2210 0.2210  1 Sc 2.62
Br 0.7790 0.7790 0.2210  1 Sc 2.62
Br 0.2210 0.2210 0.7790  1 Sc 2.62
Sc 0.0000 0.0000 0.0000  6 Br 2.62
Cs 0.7500 0.7500 0.7500  12 Br 4.21

=====

The following is a DFT calculation (PBEsol) of a geometry-optimized Cs3Sc2Br9 structure.

Output
Space-group type: P6_3/mmc (194)
Electronic total energy, eV per atom: -4.163
V, Å³ per cell: 956.33

Lattice parameters (Å, degrees): 7.5964 7.5964 19.1364 90.00 90.00 120.00
With the nearest neighbours (Å) after each atom.
Fractional positions:
Br 0.1677 0.8323 0.9124  1 Sc 2.54
Br 0.6645 0.8323 0.9124  1 Sc 2.54
Cs 0.0000 0.0000 0.2500  12 Br 3.80-3.81
Sc 0.6667 0.3333 0.1558  6 Br 2.54-2.75
Br 0.4912 0.5088 0.7500  2 Sc 2.75
Br 0.6645 0.8323 0.5876  1 Sc 2.54
Br 0.8323 0.6645 0.0876  1 Sc 2.54
Br 0.8323 0.6645 0.4124  1 Sc 2.54
Br 0.3355 0.1677 0.0876  1 Sc 2.54
Sc 0.3333 0.6667 0.8442  6 Br 2.54-2.75
Cs 0.0000 0.0000 0.7500  12 Br 3.80-3.81
Br 0.0176 0.5088 0.7500  2 Sc 2.75
Sc 0.6667 0.3333 0.3442  6 Br 2.54-2.75
Br 0.1677 0.3355 0.5876  1 Sc 2.54
Br 0.9824 0.4912 0.2500  2 Sc 2.75
Br 0.3355 0.1677 0.4124  1 Sc 2.54
Cs 0.6667 0.3333 0.5737  12 Br 3.78-4.09
Br 0.1677 0.3355 0.9124  1 Sc 2.54
Sc 0.3333 0.6667 0.6558  6 Br 2.54-2.75
Br 0.5088 0.4912 0.2500  2 Sc 2.75
Cs 0.6667 0.3333 0.9263  12 Br 3.78-4.09
Cs 0.3333 0.6667 0.0737  12 Br 3.78-4.09
Br 0.4912 0.9824 0.7500  2 Sc 2.75
Br 0.1677 0.8323 0.5876  1 Sc 2.54
Br 0.8323 0.1677 0.0876  1 Sc 2.54
Cs 0.3333 0.6667 0.4263  12 Br 3.78-4.09
Br 0.8323 0.1677 0.4124  1 Sc 2.54
Br 0.5088 0.0176 0.2500  2 Sc 2.75

=====

The following is a DFT calculation (PBEsol) of a geometry-optimized CsScBr3 structure.

Output
Space-group type: Pm-3m (221)
Electronic total energy, eV per atom: -4.254
Distance to the lowest polymorph of the same formula, meV/atom: 36
V, Å³ per cell: 153.06

Lattice parameters (Å, degrees): 5.3483 5.3495 5.3497 90.02 90.00 90.00
With the nearest neighbours (Å) after each atom.
Fractional positions:
Br 0.0000 0.9979 0.4879  2 Sc 2.67
Sc 0.0000 0.4980 0.4880  6 Br 2.67-2.68
Br 0.0000 0.4978 0.9879  2 Sc 2.67-2.68
Cs 0.5000 0.9981 0.9881  12 Br 3.78
Br 0.5000 0.4982 0.4880  2 Sc 2.67